VASP calculation (PBE) on crystalline BeSiTc2Ge at its relaxed geometry.

Computed properties:
- energy relative to the elements, uncorrected (kJ/mol of formula units) = 772
- symmetry = No. 123
- total DFT energy (no corrections) (eV/f.u.) = -26.49
- crystal system = tetragonal

a = 4.619 Å, b = 4.469 Å, c = 4.619 Å
α = 90.00°, β = 90.00°, γ = 90.00°
Site moments in Bohr magnetons follow the coordinates.
Sites, in units of the cell vectors:
1 Tc 0.000 0.000 0.500  1.25
2 Tc 0.500 0.000 0.000  1.27
3 Be 0.500 0.500 0.500  -0.04
4 Si 0.000 0.500 0.000  0.00
5 Ge 0.000 0.000 0.000  -0.04